Entry 1:
Here is a geometry-optimized TcAgAsSe2 structure from the Alexandria database. Energies are from GGA-PBE.

Cell lengths 4.964, 4.964, 4.753 Å; angles 90.00, 90.00, 90.00 degrees
Fractional positions:
Tc: 0.000 0.000 0.000
Ag: 0.500 0.500 0.500
As: 0.000 0.000 0.500
Se: 0.000 0.500 0.000
Se: 0.500 0.000 0.000

Calculated values
**Final energy**: -22.3 eV per cell
**N(E_F)**: 5.968 states/eV per cell
**Formation energy (no corrections)**: 0.5003 eV per atom
**Polymorph energy (0 for the lowest one)**: 0 meV/atom

---

Entry 2:
Here is a geometry-optimized TlCd5 structure from the Alexandria database. Energies are from GGA-PBE.

Cell lengths 5.965, 5.965, 4.827 Å; angles 90.00, 90.00, 120.00 degrees
Fractional positions:
Tl: 0.000 0.000 0.000
Cd: 0.000 0.617 0.500
Cd: 0.333 0.667 0.000
Cd: 0.383 0.383 0.500
Cd: 0.617 0.000 0.500
Cd: 0.667 0.333 0.000

Calculated values
**Final energy**: -6.7 eV per cell
**N(E_F)**: 1.667 states/eV per cell
**Energy of formation**: 0.045 eV per atom
**Polymorph energy (0 for the lowest one)**: 25 meV/atom

---

Entry 3:
Here is a geometry-optimized Al4AgCl structure from the Alexandria database. Energies are from GGA-PBE.

Cell lengths 5.502, 5.502, 5.502 Å; angles 60.00, 60.00, 60.00 degrees
Fractional positions:
Al: 0.376 0.376 0.376
Al: 0.376 0.376 0.873
Al: 0.376 0.873 0.376
Al: 0.873 0.376 0.376
Ag: 0.750 0.750 0.750
Cl: 0.000 0.000 0.000

Calculated values
**Final energy**: -18.5 eV per cell
**N(E_F)**: 3.792 states/eV per cell
**Formation energy (no corrections)**: 0.1944 eV per atom

---

Entry 4:
Here is a geometry-optimized Li4Ho3ZrS8 structure from the Alexandria database. Energies are from GGA-PBE.

Cell lengths 7.592, 7.592, 7.592 Å; angles 60.49, 60.49, 60.49 degrees
Fractional positions:
Li: 0.000 0.000 0.000
Li: 0.000 0.500 0.500
Li: 0.500 0.000 0.500
Li: 0.500 0.500 0.000
Ho: 0.000 0.000 0.500
Ho: 0.000 0.500 0.000
Ho: 0.500 0.000 0.000
Zr: 0.500 0.500 0.500
S: 0.251 0.251 0.251
S: 0.255 0.255 0.740
S: 0.255 0.740 0.255
S: 0.260 0.745 0.745
S: 0.740 0.255 0.255
S: 0.745 0.260 0.745
S: 0.745 0.745 0.260
S: 0.749 0.749 0.749

Calculated values
**Final energy**: -90.9 eV per cell
**N(E_F)**: 4.068 states/eV per cell
**Formation energy (no corrections)**: -1.7496 eV per atom

---

Entry 5:
Here is a geometry-optimized Ba4PbCl10 structure from the Alexandria database. Energies are from GGA-PBE.

Cell lengths 8.981, 8.981, 8.981 Å; angles 99.60, 99.60, 131.80 degrees
Fractional positions:
Ba: 0.100 0.701 0.802
Ba: 0.299 0.100 0.399
Ba: 0.701 0.900 0.601
Ba: 0.900 0.299 0.198
Pb: 0.500 0.500 0.000
Cl: 0.063 0.355 0.904
Cl: 0.159 0.063 0.707
Cl: 0.250 0.750 0.500
Cl: 0.355 0.452 0.293
Cl: 0.452 0.159 0.096
Cl: 0.548 0.841 0.904
Cl: 0.645 0.548 0.707
Cl: 0.750 0.250 0.500
Cl: 0.841 0.937 0.293
Cl: 0.937 0.645 0.096

Calculated values
**Final energy**: -63.9 eV per cell
**N(E_F)**: 0.000 states/eV per cell
**Formation energy (no corrections)**: -2.2718 eV per atom

---

Entry 6:
Here is a geometry-optimized Na2SrGe2 structure from the Alexandria database. Energies are from GGA-PBE.

Cell lengths 7.902, 7.902, 4.778 Å; angles 90.00, 90.00, 90.00 degrees
Fractional positions:
Na: 0.163 0.337 0.000
Na: 0.337 0.837 0.000
Na: 0.663 0.163 0.000
Na: 0.837 0.663 0.000
Sr: 0.000 0.000 0.500
Sr: 0.500 0.500 0.500
Ge: 0.107 0.607 0.500
Ge: 0.393 0.107 0.500
Ge: 0.607 0.893 0.500
Ge: 0.893 0.393 0.500

Calculated values
**Final energy**: -28.6 eV per cell
**N(E_F)**: 4.669 states/eV per cell
**Energy of formation**: -0.147 eV per atom
**Polymorph energy (0 for the lowest one)**: 146 meV/atom

---

Entry 7:
Here is a geometry-optimized La4DyTm3Se8 structure from the Alexandria database. Energies are from GGA-PBE.

Cell lengths 8.468, 8.468, 8.468 Å; angles 58.11, 58.11, 58.11 degrees
Fractional positions:
La: 0.000 0.000 0.000
La: 0.000 0.500 0.500
La: 0.500 0.000 0.500
La: 0.500 0.500 0.000
Dy: 0.500 0.500 0.500
Tm: 0.000 0.000 0.500
Tm: 0.000 0.500 0.000
Tm: 0.500 0.000 0.000
Se: 0.239 0.744 0.744
Se: 0.241 0.241 0.241
Se: 0.256 0.256 0.761
Se: 0.256 0.761 0.256
Se: 0.744 0.239 0.744
Se: 0.744 0.744 0.239
Se: 0.759 0.759 0.759
Se: 0.761 0.256 0.256

Calculated values
**Final energy**: -95.2 eV per cell
**N(E_F)**: 9.471 states/eV per cell
**Formation energy (no corrections)**: -1.8499 eV per atom

---

Entry 8:
Here is a geometry-optimized MgTlRu structure from the Alexandria database. Energies are from GGA-PBE.

Cell lengths 4.504, 4.504, 4.504 Å; angles 60.00, 60.00, 60.00 degrees
Fractional positions:
Mg: 0.000 0.000 0.000
Tl: 0.500 0.500 0.500
Ru: 0.250 0.250 0.250

Calculated values
**Final energy**: -12.1 eV per cell
**N(E_F)**: 2.126 states/eV per cell
**Energy of formation**: 0.389 eV per atom
**Polymorph energy (0 for the lowest one)**: 180 meV/atom

---

Entry 9:
Here is a geometry-optimized Pr2PaRh structure from the Alexandria database. Energies are from GGA-PBE.

Cell lengths 11.021, 11.021, 11.021 Å; angles 17.68, 17.68, 17.68 degrees
Fractional positions:
Pr: 0.101 0.101 0.101
Pr: 0.899 0.899 0.899
Pa: 0.000 0.000 0.000
Rh: 0.500 0.500 0.500

Calculated values
**Final energy**: -25.6 eV per cell
**N(E_F)**: 4.752 states/eV per cell
**Energy of formation**: 0.192 eV per atom

---

Entry 10:
Here is a geometry-optimized Dy4InC structure from the Alexandria database. Energies are from GGA-PBE.

Cell lengths 8.185, 8.185, 6.837 Å; angles 105.10, 105.10, 43.69 degrees
Fractional positions:
Dy: 0.010 0.192 0.448
Dy: 0.192 0.010 0.948
Dy: 0.237 0.380 0.840
Dy: 0.380 0.237 0.340
Dy: 0.620 0.763 0.660
Dy: 0.763 0.620 0.160
Dy: 0.808 0.990 0.052
Dy: 0.990 0.808 0.552
In: 0.407 0.593 0.250
In: 0.593 0.407 0.750
C: 0.000 0.500 0.500
C: 0.500 0.000 0.000

Calculated values
**Final energy**: -63.6 eV per cell
**N(E_F)**: 12.793 states/eV per cell
**Energy of formation**: -0.238 eV per atom

---

Entry 11:
Here is a geometry-optimized Dy2Al4CdPt3 structure from the Alexandria database. Energies are from GGA-PBE.

Cell lengths 4.210, 4.210, 10.847 Å; angles 90.00, 90.00, 90.00 degrees
Fractional positions:
Dy: 0.000 0.500 0.237
Dy: 0.500 0.000 0.763
Al: 0.000 0.000 0.000
Al: 0.000 0.500 0.644
Al: 0.500 0.000 0.356
Al: 0.500 0.500 0.000
Cd: 0.000 0.000 0.500
Pt: 0.000 0.500 0.869
Pt: 0.500 0.000 0.131
Pt: 0.500 0.500 0.500

Calculated values
**Final energy**: -52.4 eV per cell
**N(E_F)**: 5.602 states/eV per cell
**Energy of formation**: -0.916 eV per atom

---

Entry 12:
Here is a geometry-optimized K4Rb4Cd structure from the Alexandria database. Energies are from GGA-PBE.

Cell lengths 11.074, 11.074, 11.074 Å; angles 134.99, 134.99, 65.54 degrees
Fractional positions:
K: 0.131 0.131 0.614
K: 0.483 0.869 0.000
K: 0.517 0.517 0.386
K: 0.869 0.483 0.000
Rb: 0.135 0.709 0.000
Rb: 0.291 0.291 0.426
Rb: 0.709 0.135 0.000
Rb: 0.865 0.865 0.574
Cd: 0.500 0.500 0.000

Calculated values
**Final energy**: -9.0 eV per cell
**N(E_F)**: 6.790 states/eV per cell
**Energy of formation**: 0.024 eV per atom